Entry one
Computed, not measured: an optimized crystal structure of Sr2Pr2O5 at the PBE level of DFT.

It has space group P4/mmm (No. 123), with a = 4.497 Å, b = 4.497 Å, c = 7.869 Å, α = 90.00°, β = 90.00° and γ = 90.00°. The asymmetric unit holds Sr at (0.000, 0.000, 0.219), Pr at (0.500, 0.500, 0.000), Pr at (0.500, 0.500, 0.500), O at (0.000, 0.000, 0.500) and O at (0.000, 0.500, 0.179).

Its mass density is 5.6 g/cm3. The value obtained for the volume is 159.1 Å³ per cell.

---

Entry two
Computed, not measured: an optimized crystal structure of Sr2Pr2O5 at the PBE level of DFT.

It has space group P4/mmm (No. 123), with a = 4.526 Å, b = 4.526 Å, c = 8.330 Å, α = 90.00°, β = 90.00° and γ = 90.00°. The asymmetric unit holds Sr at (0.000, 0.000, 0.000), Sr at (0.000, 0.000, 0.500), Pr at (0.500, 0.500, 0.234), O at (0.000, 0.500, 0.185) and O at (0.500, 0.500, 0.500).

Its mass density is 5.2 g/cm3. The value obtained for the volume is 170.6 Å³ per cell.

---

Energies relative to the most stable structure, in eV/atom: entry one 0.538; entry two 0.000.

---

Entry one
Computed, not measured: an optimized crystal structure of Pr2Te2O5 at the PBE level of DFT.

It has space group P4/mmm (No. 123), with a = 4.327 Å, b = 4.327 Å, c = 7.214 Å, α = 90.00°, β = 90.00° and γ = 90.00°. The asymmetric unit holds Pr at (0.000, 0.000, 0.000), Pr at (0.000, 0.000, 0.500), Te at (0.500, 0.500, 0.205), O at (0.000, 0.500, 0.264) and O at (0.500, 0.500, 0.500).

Its mass density is 7.6 g/cm3. The value obtained for the volume is 135.1 Å³ per cell.

---

Entry two
Computed, not measured: an optimized crystal structure of Pr2Te2O5 at the PBE level of DFT.

It has space group P4/mmm (No. 123), with a = 3.978 Å, b = 3.978 Å, c = 9.634 Å, α = 90.00°, β = 90.00° and γ = 90.00°. The asymmetric unit holds Pr at (0.000, 0.000, 0.241), Te at (0.500, 0.500, 0.000), Te at (0.500, 0.500, 0.500), O at (0.000, 0.000, 0.000) and O at (0.000, 0.500, 0.366).

Its mass density is 6.7 g/cm3. The value obtained for the volume is 152.5 Å³ per cell.

---

Energies relative to the most stable structure, in eV/atom: entry one 0.446; entry two 0.000.

---

Entry one
Computed, not measured: an optimized crystal structure of Pt2O at the PBE level of DFT.

It has space group Fm-3m (No. 225), with a = 5.545 Å, b = 5.545 Å, c = 5.545 Å, α = 90.00°, β = 90.00° and γ = 90.00°. The asymmetric unit holds Pt at (0.250, 0.250, 0.250) and O at (0.000, 0.000, 0.000).

Its mass density is 15.8 g/cm3. The value obtained for the volume is 170.5 Å³ per cell.

---

Entry two
Computed, not measured: an optimized crystal structure of Pt2O at the PBE level of DFT.

It has space group Fd-3m (No. 227, origin choice 2), with a = 8.984 Å, b = 8.984 Å, c = 8.984 Å, α = 90.00°, β = 90.00° and γ = 90.00°. The asymmetric unit holds Pt at (0.000, 0.000, 0.000) and O at (0.125, 0.125, 0.125).

Its mass density is 7.4 g/cm3. The value obtained for the volume is 725.1 Å³ per cell.

---

Energies relative to the most stable structure, in eV/atom: entry one 0.217; entry two 0.000.

---

Entry one
Computed, not measured: an optimized crystal structure of Re2PtO4 at the PBE level of DFT.

It has space group Fd-3m (No. 227, origin choice 2), with a = 8.872 Å, b = 8.872 Å, c = 8.872 Å, α = 90.00°, β = 90.00° and γ = 90.00°. The asymmetric unit holds Re at (0.000, 0.000, 0.000), Pt at (0.125, 0.125, 0.625) and O at (0.018, 0.018, 0.232).

Its mass density is 12.0 g/cm3. The value obtained for the volume is 698.4 Å³ per cell.

---

Entry two
Computed, not measured: an optimized crystal structure of Re2PtO4 at the PBE level of DFT.

It has space group I4/mmm (No. 139), with a = 4.054 Å, b = 4.054 Å, c = 12.203 Å, α = 90.00°, β = 90.00° and γ = 90.00°. The asymmetric unit holds Re at (0.000, 0.000, 0.124), Pt at (0.000, 0.000, 0.500), O at (0.000, 0.000, 0.266) and O at (0.000, 0.500, 0.000).

Its mass density is 10.5 g/cm3. The value obtained for the volume is 200.6 Å³ per cell.

---

Energies relative to the most stable structure, in eV/atom: entry one 0.000; entry two 0.928.

---

Entry one
Computed, not measured: an optimized crystal structure of SrPtSO at the PBE level of DFT.

It has space group Pca2_1 (No. 29), with a = 7.076 Å, b = 7.428 Å, c = 5.896 Å, α = 90.00°, β = 90.00° and γ = 90.00°. The asymmetric unit holds Sr at (0.082, 0.169, 0.000), Pt at (0.104, 0.690, 0.012), S at (0.165, 0.525, 0.689) and O at (0.084, 0.109, 0.578).

Its mass density is 7.1 g/cm3. The value obtained for the volume is 309.9 Å³ per cell.

---

Entry two
Computed, not measured: an optimized crystal structure of SrPtSO at the PBE level of DFT.

It has space group P2_12_12_1 (No. 19), with a = 5.526 Å, b = 6.639 Å, c = 9.229 Å, α = 90.00°, β = 90.00° and γ = 90.00°. The asymmetric unit holds Sr at (0.178, 0.155, 0.359), Pt at (0.065, 0.243, 0.017), S at (0.170, 0.548, 0.630) and O at (0.228, 0.307, 0.598).

Its mass density is 6.5 g/cm3. The value obtained for the volume is 338.6 Å³ per cell.

---

Entry three
Computed, not measured: an optimized crystal structure of SrPtSO at the PBE level of DFT.

It has space group P4/nmm (No. 129, origin choice 2), with a = 4.647 Å, b = 4.647 Å, c = 7.892 Å, α = 90.00°, β = 90.00° and γ = 90.00°. The asymmetric unit holds Sr at (0.250, 0.750, 0.000), Pt at (0.250, 0.250, 0.241), S at (0.250, 0.250, 0.721) and O at (0.250, 0.250, 0.529).

Its mass density is 6.4 g/cm3. The value obtained for the volume is 170.4 Å³ per cell.

---

Entry four
Computed, not measured: an optimized crystal structure of SrPtSO at the PBE level of DFT.

It has space group P2_12_12_1 (No. 19), with a = 5.968 Å, b = 7.046 Å, c = 7.595 Å, α = 90.00°, β = 90.00° and γ = 90.00°. The asymmetric unit holds Sr at (0.162, 0.081, 0.393), Pt at (0.214, 0.581, 0.421), S at (0.021, 0.740, 0.636) and O at (0.031, 0.894, 0.120).

Its mass density is 6.9 g/cm3. The value obtained for the volume is 319.4 Å³ per cell.

---

Energies relative to the most stable structure, in eV/atom: entry one 0.054; entry two 0.068; entry three 1.116; entry four 0.000.

---

Entry one
Computed, not measured: an optimized crystal structure of Sr2PtSO6 at the PBE level of DFT.

It has space group C2/m (No. 12), with a = 10.935 Å, b = 5.252 Å, c = 5.543 Å, α = 90.00°, β = 120.32° and γ = 90.00°. The asymmetric unit holds Sr at (0.192, 0.000, 0.193), Pt at (0.000, 0.500, 0.500), S at (0.000, 0.500, 0.000), O at (0.001, 0.268, 0.786) and O at (0.180, 0.500, 0.182).

Its mass density is 6.0 g/cm3. The value obtained for the volume is 274.8 Å³ per cell.

---

Entry two
Computed, not measured: an optimized crystal structure of Sr2PtSO6 at the PBE level of DFT.

It has space group I4/m (No. 87), with a = 5.121 Å, b = 5.121 Å, c = 9.009 Å, α = 90.00°, β = 90.00° and γ = 90.00°. The asymmetric unit holds Sr at (0.000, 0.500, 0.250), Pt at (0.000, 0.000, 0.000), S at (0.000, 0.000, 0.500), O at (0.000, 0.000, 0.315) and O at (0.152, 0.301, 0.500).

Its mass density is 7.0 g/cm3. The value obtained for the volume is 236.2 Å³ per cell.

---

Energies relative to the most stable structure, in eV/atom: entry one 0.000; entry two 0.095.

---

Entry one
Computed, not measured: an optimized crystal structure of ZnPtSO at the PBE level of DFT.

It has space group Pbca (No. 61), with a = 6.079 Å, b = 13.299 Å, c = 6.499 Å, α = 90.00°, β = 90.00° and γ = 90.00°. The asymmetric unit holds Zn at (0.070, 0.241, 0.127), Pt at (0.250, 0.053, 0.014), S at (0.000, 0.011, 0.751) and O at (0.249, 0.243, 0.377).

Its mass density is 7.8 g/cm3. The value obtained for the volume is 525.4 Å³ per cell.

---

Entry two
Computed, not measured: an optimized crystal structure of ZnPtSO at the PBE level of DFT.

It has space group P2_12_12_1 (No. 19), with a = 5.228 Å, b = 6.665 Å, c = 8.293 Å, α = 90.00°, β = 90.00° and γ = 90.00°. The asymmetric unit holds Zn at (0.188, 0.137, 0.497), Pt at (0.172, 0.685, 0.524), S at (0.046, 0.389, 0.656) and O at (0.014, 0.909, 0.396).

Its mass density is 7.1 g/cm3. The value obtained for the volume is 289.0 Å³ per cell.

---

Entry three
Computed, not measured: an optimized crystal structure of ZnPtSO at the PBE level of DFT.

It has space group P4/nmm (No. 129, origin choice 2), with a = 3.639 Å, b = 3.639 Å, c = 9.061 Å, α = 90.00°, β = 90.00° and γ = 90.00°. The asymmetric unit holds Zn at (0.250, 0.250, 0.084), Pt at (0.250, 0.250, 0.629), S at (0.250, 0.250, 0.359) and O at (0.250, 0.750, 0.000).

Its mass density is 8.5 g/cm3. The value obtained for the volume is 120.0 Å³ per cell.

---

Energies relative to the most stable structure, in eV/atom: entry one 0.000; entry two 0.254; entry three 0.229.

---

Entry one
Computed, not measured: an optimized crystal structure of Sc2Pt2O5 at the PBE level of DFT.

It has space group P4/mmm (No. 123), with a = 3.987 Å, b = 3.987 Å, c = 6.702 Å, α = 90.00°, β = 90.00° and γ = 90.00°. The asymmetric unit holds Sc at (0.000, 0.000, 0.000), Sc at (0.000, 0.000, 0.500), Pt at (0.500, 0.500, 0.191), O at (0.000, 0.500, 0.238) and O at (0.500, 0.500, 0.500).

Its mass density is 8.7 g/cm3. The value obtained for the volume is 106.5 Å³ per cell.

---

Entry two
Computed, not measured: an optimized crystal structure of Sc2Pt2O5 at the PBE level of DFT.

It has space group P4/mmm (No. 123), with a = 3.647 Å, b = 3.647 Å, c = 8.413 Å, α = 90.00°, β = 90.00° and γ = 90.00°. The asymmetric unit holds Sc at (0.000, 0.000, 0.238), Pt at (0.500, 0.500, 0.000), Pt at (0.500, 0.500, 0.500), O at (0.000, 0.000, 0.000) and O at (0.000, 0.500, 0.354).

Its mass density is 8.3 g/cm3. The value obtained for the volume is 111.9 Å³ per cell.

---

Energies relative to the most stable structure, in eV/atom: entry one 0.305; entry two 0.000.